LiGeAuSeS2: relaxed, GGA-PBE.

E   -3.9226 eV per atom

Geometry as POSCAR:
```
LiGeAuSeS2
1.0
1.744 -6.823 0.000
1.744 6.823 0.000
0.000 0.000 10.054
Li Ge Au Se S
2 2 2 2 4
direct
0.195 0.805 0.750
0.805 0.195 0.250
0.500 0.500 0.000
0.500 0.500 0.500
0.146 0.854 0.250
0.854 0.146 0.750
0.446 0.554 0.250
0.554 0.446 0.750
0.130 0.870 0.020
0.130 0.870 0.480
0.870 0.130 0.520
0.870 0.130 0.980
```

***

LiGeAuSe3: relaxed, GGA-PBE.

E   -3.5861 eV per atom

Geometry as POSCAR:
```
LiGeAuSe3
1.0
1.772 -6.491 0.000
1.772 6.491 0.000
0.000 0.000 11.263
Li Ge Au Se
2 2 2 6
direct
0.222 0.778 0.750
0.778 0.222 0.250
0.000 0.000 0.000
0.000 0.000 0.500
0.451 0.549 0.250
0.549 0.451 0.750
0.107 0.893 0.250
0.359 0.641 0.050
0.359 0.641 0.450
0.641 0.359 0.550
0.641 0.359 0.950
0.893 0.107 0.750
```

***

LiGeTe2AuSe: relaxed, GGA-PBE.

E   -3.4868 eV per atom

Geometry as POSCAR:
```
LiGeTe2AuSe
1.0
2.060 -6.432 0.000
2.060 6.432 0.000
0.000 0.000 11.097
Li Ge Te Au Se
2 2 4 2 2
direct
0.166 0.834 0.750
0.834 0.166 0.250
0.500 0.500 0.000
0.500 0.500 0.500
0.155 0.845 0.015
0.155 0.845 0.485
0.845 0.155 0.515
0.845 0.155 0.985
0.153 0.847 0.250
0.847 0.153 0.750
0.461 0.539 0.250
0.539 0.461 0.750
```

***

Li2SiGeAu2: relaxed, GGA-PBE.

E   -3.7845 eV per atom

Geometry as POSCAR:
```
Li2SiGeAu2
1.0
4.892 -2.150 0.000
4.892 2.150 0.000
-4.217 0.000 4.961
Li Si Ge Au
2 1 1 2
direct
0.000 0.000 0.000
0.081 0.081 0.581
0.716 0.716 0.033
0.711 0.711 0.407
0.372 0.372 0.145
0.399 0.399 0.636
```

***

Li4SnGeAu2: relaxed, GGA-PBE.

E   -3.3564 eV per atom

Geometry as POSCAR:
```
Li4SnGeAu2
1.0
4.462 0.000 0.000
0.000 4.462 0.000
0.000 0.000 6.474
Li Sn Ge Au
4 1 1 2
direct
0.000 0.000 0.000
0.000 0.500 0.727
0.500 0.000 0.273
0.500 0.500 0.500
0.500 0.500 0.000
0.000 0.000 0.500
0.000 0.500 0.268
0.500 0.000 0.732
```

***

LiGeTe3Au: relaxed, GGA-PBE.

E   -3.3661 eV per atom

Geometry as POSCAR:
```
LiGeTe3Au
1.0
1.899 -6.986 0.000
1.899 6.986 0.000
0.000 0.000 11.587
Li Ge Te Au
2 2 6 2
direct
0.211 0.789 0.750
0.789 0.211 0.250
0.000 0.000 0.000
0.000 0.000 0.500
0.097 0.903 0.250
0.349 0.651 0.047
0.349 0.651 0.453
0.651 0.349 0.547
0.651 0.349 0.953
0.903 0.097 0.750
0.449 0.551 0.250
0.551 0.449 0.750
```

***

Li4ZnGeAu2: relaxed, GGA-PBE.

E   -2.9692 eV per atom

Geometry as POSCAR:
```
Li4ZnGeAu2
1.0
4.409 0.000 0.000
0.000 4.409 0.000
0.000 0.000 6.169
Li Zn Ge Au
4 1 1 2
direct
0.000 0.000 0.000
0.000 0.500 0.747
0.500 0.000 0.253
0.500 0.500 0.500
0.000 0.000 0.500
0.500 0.500 0.000
0.000 0.500 0.249
0.500 0.000 0.751
```

***

Li4Zn2GeAu: relaxed, GGA-PBE.

E   -2.6576 eV per atom

Geometry as POSCAR:
```
Li4Zn2GeAu
1.0
4.306 0.000 0.000
0.000 4.306 0.000
0.000 0.000 6.326
Li Zn Ge Au
4 2 1 1
direct
0.000 0.000 0.000
0.000 0.500 0.249
0.500 0.000 0.751
0.500 0.500 0.500
0.000 0.500 0.745
0.500 0.000 0.255
0.000 0.000 0.500
0.500 0.500 0.000
```

***

LiZrGeAu: relaxed, GGA-PBE.

E   -4.7410 eV per atom

Geometry as POSCAR:
```
LiZrGeAu
1.0
0.000 3.291 3.291
3.291 0.000 3.291
3.291 3.291 0.000
Li Zr Ge Au
1 1 1 1
direct
0.000 0.000 0.000
0.750 0.750 0.750
0.250 0.250 0.250
0.500 0.500 0.500
```

***

LiZrGeAu: relaxed, GGA-PBE.

E   -4.8511 eV per atom

Geometry as POSCAR:
```
LiZrGeAu
1.0
0.000 3.239 3.239
3.239 0.000 3.239
3.239 3.239 0.000
Li Zr Ge Au
1 1 1 1
direct
0.000 0.000 0.000
0.250 0.250 0.250
0.500 0.500 0.500
0.750 0.750 0.750
```

***

LiZrGeAu: relaxed, GGA-PBE.

E   -5.0857 eV per atom

Geometry as POSCAR:
```
LiZrGeAu
1.0
0.000 3.297 3.297
3.297 0.000 3.297
3.297 3.297 0.000
Li Zr Ge Au
1 1 1 1
direct
0.000 0.000 0.000
0.500 0.500 0.500
0.250 0.250 0.250
0.750 0.750 0.750
```

***

LuGeAu: relaxed, GGA-PBE.

E   -4.9179 eV per atom

Geometry as POSCAR:
```
LuGeAu
1.0
4.438 0.000 0.000
-2.219 3.843 0.000
0.000 0.000 7.149
Lu Ge Au
2 2 2
direct
0.000 0.000 0.000
0.000 0.000 0.500
0.333 0.667 0.206
0.667 0.333 0.706
0.333 0.667 0.799
0.667 0.333 0.299
```

***

LuGeAu: relaxed, GGA-PBE.

E   -4.9060 eV per atom

Geometry as POSCAR:
```
LuGeAu
1.0
7.087 0.000 0.000
-3.544 6.138 0.000
0.000 0.000 4.119
Lu Ge Au
3 3 3
direct
0.000 0.587 0.000
0.413 0.413 0.000
0.587 0.000 0.000
0.000 0.000 0.000
0.333 0.667 0.500
0.667 0.333 0.500
0.000 0.263 0.500
0.263 0.000 0.500
0.737 0.737 0.500
```

***

LuGeAu: relaxed, GGA-PBE.

E   -4.8140 eV per atom

Geometry as POSCAR:
```
LuGeAu
1.0
7.232 0.000 0.000
-3.616 6.263 0.000
0.000 0.000 4.076
Lu Ge Au
3 3 3
direct
0.000 0.599 0.000
0.401 0.401 0.000
0.599 0.000 0.000
0.000 0.265 0.500
0.265 0.000 0.500
0.735 0.735 0.500
0.000 0.000 0.000
0.333 0.667 0.500
0.667 0.333 0.500
```

***

Lu2GeAu: relaxed, GGA-PBE.

E   -4.3698 eV per atom

Geometry as POSCAR:
```
Lu2GeAu
1.0
0.000 3.543 3.543
3.543 0.000 3.543
3.543 3.543 0.000
Lu Ge Au
2 1 1
direct
0.000 0.000 0.000
0.250 0.250 0.250
0.500 0.500 0.500
0.750 0.750 0.750
```

***

LuNiGeAu: relaxed, GGA-PBE.

E   -4.9058 eV per atom

Geometry as POSCAR:
```
LuNiGeAu
1.0
0.000 3.273 3.273
3.273 0.000 3.273
3.273 3.273 0.000
Lu Ni Ge Au
1 1 1 1
direct
0.000 0.000 0.000
0.500 0.500 0.500
0.250 0.250 0.250
0.750 0.750 0.750
```

***

PrLuGe2Au2: relaxed, GGA-PBE.

E   -4.9961 eV per atom

Geometry as POSCAR:
```
PrLuGe2Au2
1.0
4.491 0.000 0.000
-2.246 3.890 0.000
0.000 0.000 7.483
Pr Lu Ge Au
1 1 2 2
direct
0.000 0.000 0.000
0.000 0.000 0.496
0.333 0.667 0.219
0.667 0.333 0.700
0.333 0.667 0.748
0.667 0.333 0.310
```

***

LuGeAuSe2S: relaxed, GGA-PBE.

E   -4.6175 eV per atom

Geometry as POSCAR:
```
LuGeAuSe2S
1.0
1.968 -6.610 0.000
1.968 6.610 0.000
0.000 0.000 10.103
Lu Ge Au Se S
2 2 2 4 2
direct
0.000 0.000 0.000
0.000 0.000 0.500
0.259 0.741 0.750
0.741 0.259 0.250
0.470 0.530 0.250
0.530 0.470 0.750
0.349 0.651 0.053
0.349 0.651 0.447
0.651 0.349 0.553
0.651 0.349 0.947
0.100 0.900 0.250
0.900 0.100 0.750
```

***

LuGeAuSeS2: relaxed, GGA-PBE.

E   -4.8785 eV per atom

Geometry as POSCAR:
```
LuGeAuSeS2
1.0
1.973 -6.945 0.000
1.973 6.945 0.000
0.000 0.000 10.311
Lu Ge Au Se S
2 2 2 2 4
direct
0.000 0.000 0.000
0.000 0.000 0.500
0.306 0.694 0.750
0.694 0.306 0.250
0.344 0.656 0.250
0.656 0.344 0.750
0.068 0.932 0.250
0.932 0.068 0.750
0.368 0.632 0.023
0.368 0.632 0.477
0.632 0.368 0.523
0.632 0.368 0.977
```

***

LuScGe2Au2: relaxed, GGA-PBE.

E   -5.1903 eV per atom

Geometry as POSCAR:
```
LuScGe2Au2
1.0
4.403 0.000 0.000
-2.202 3.814 0.000
0.000 0.000 7.034
Lu Sc Ge Au
1 1 2 2
direct
0.000 0.000 0.000
0.000 0.000 0.500
0.333 0.667 0.210
0.667 0.333 0.699
0.333 0.667 0.795
0.667 0.333 0.305
```

***

Lu3Si2Ge2Au4: relaxed, GGA-PBE.

E   -4.8697 eV per atom

Geometry as POSCAR:
```
Lu3Si2Ge2Au4
1.0
-2.122 3.468 7.167
2.122 -3.468 7.167
2.122 3.468 -7.167
Lu Si Ge Au
3 2 2 4
direct
0.000 0.000 0.000
0.376 0.876 0.500
0.624 0.124 0.500
0.216 0.216 0.000
0.784 0.784 0.000
0.312 0.500 0.812
0.688 0.500 0.188
0.032 0.328 0.704
0.376 0.672 0.704
0.624 0.328 0.296
0.968 0.672 0.296
```

***

SmLuGe2Au2: relaxed, GGA-PBE.

E   -4.9850 eV per atom

Geometry as POSCAR:
```
SmLuGe2Au2
1.0
4.476 0.000 0.000
-2.238 3.877 0.000
0.000 0.000 7.348
Sm Lu Ge Au
1 1 2 2
direct
0.000 0.000 0.000
0.000 0.000 0.498
0.333 0.667 0.214
0.667 0.333 0.701
0.333 0.667 0.770
0.667 0.333 0.307
```

***

TmLuGe2Au2: relaxed, GGA-PBE.

E   -4.9224 eV per atom

Geometry as POSCAR:
```
TmLuGe2Au2
1.0
4.441 0.000 0.000
-2.220 3.846 0.000
0.000 0.000 7.184
Tm Lu Ge Au
1 1 2 2
direct
0.000 0.000 0.000
0.000 0.000 0.500
0.333 0.667 0.706
0.667 0.333 0.207
0.333 0.667 0.297
0.667 0.333 0.796
```

***

Mg2GeAu: relaxed, GGA-PBE.

E   -2.8618 eV per atom

Geometry as POSCAR:
```
Mg2GeAu
1.0
0.000 3.363 3.363
3.363 0.000 3.363
3.363 3.363 0.000
Mg Ge Au
2 1 1
direct
0.000 0.000 0.000
0.250 0.250 0.250
0.500 0.500 0.500
0.750 0.750 0.750
```

***

MgGe2Au: relaxed, GGA-PBE.

E   -3.5263 eV per atom

Geometry as POSCAR:
```
MgGe2Au
1.0
0.000 3.363 3.363
3.363 0.000 3.363
3.363 3.363 0.000
Mg Ge Au
1 2 1
direct
0.000 0.000 0.000
0.500 0.500 0.500
0.750 0.750 0.750
0.250 0.250 0.250
```